Entry from Alexandria via LeMat-Bulk: CdRe2Os after structural relaxation (PBEsol).

Values from the calculation:
* E_tot: -116.780 eV for the cell shown
* spin magnetization: 0.00 Bohr magnetons per cell
* calculated formation energy: 0.288 eV/atom

a = 2.7614 Å, b = 2.7614 Å, c = 27.9351 Å
α = 90.00°, β = 90.00°, γ = 120.00°
Space group R-3m (No. 166, hexagonal axes)
One atom of each set of equivalent atoms:
Cd (0.0000, 0.0000, 0.0000) x3
Re (0.0000, 0.0000, 0.2437) x6
Os (0.0000, 0.0000, 0.5000) x3